No. 1
The following is a PBE calculation of a geometry-optimized NbV3Pb structure, from Alexandria via LeMat-Bulk.

Values from the calculation:
ΔH_f (0 K) ... 1.273 eV per atom
N(E_F) ... 6.21 states/eV/f.u.
Energy above the lowest structure with this stoichiometry ... 0.0 kJ/mol of atoms
Space group ... Pm-3m

a b c (Å): 4.6662 4.6662 4.6662
angles (deg): 90.00 90.00 90.00
Fractional coordinates of all 5 atoms:
Nb 0.0000 0.0000 0.0000
V 0.0000 0.0000 0.5000
V 0.0000 0.5000 0.0000
V 0.5000 0.0000 0.0000
Pb 0.5000 0.5000 0.5000

***

No. 2
The following is a PBE calculation of a geometry-optimized Se2SN structure, from Alexandria via LeMat-Bulk.

Values from the calculation:
Uncorrected formation energy ... 1.186 eV/atom
N(E_F) ... 2.00 states/eV/f.u.
Energy above the lowest structure with this stoichiometry ... 36.3 kJ/mol of atoms
Space group ... R-3m

a b c (Å): 3.3626 3.3626 22.2858
angles (deg): 90.00 90.00 120.00
Fractional coordinates of all 12 atoms:
Se 0.0000 0.0000 0.1034
Se 0.0000 0.0000 0.8966
Se 0.3333 0.6667 0.5632
Se 0.3333 0.6667 0.7701
Se 0.6667 0.3333 0.2299
Se 0.6667 0.3333 0.4368
S 0.0000 0.0000 0.0000
S 0.3333 0.6667 0.6667
S 0.6667 0.3333 0.3333
N 0.0000 0.0000 0.5000
N 0.3333 0.6667 0.1667
N 0.6667 0.3333 0.8333